1) # TaMoPt2 (PBE, optimized geometry)
data_TaMoPt2
_cell_length_a 5.5601
_cell_length_b 8.2183
_cell_length_c 2.7923
_cell_angle_alpha 90.00
_cell_angle_beta 90.00
_cell_angle_gamma 90.00
_space_group_name_H-M_alt 'C m m m'
_space_group_IT_number 65
_space_group_name_Hall '-C 2 2'
loop_
_atom_site_label
_atom_site_type_symbol
_atom_site_fract_x
_atom_site_fract_y
_atom_site_fract_z
Ta1 Ta 0.0000 0.0000 0.0000
Mo1 Mo 0.0000 0.5000 0.0000
Pt1 Pt 0.2500 0.2500 0.5000
# - Crystal system: orthorhombic

***

2) # TaMoPt2 (PBE, optimized geometry)
data_TaMoPt2
_cell_length_a 3.9291
_cell_length_b 3.9291
_cell_length_c 8.2551
_cell_angle_alpha 90.00
_cell_angle_beta 90.00
_cell_angle_gamma 90.00
_space_group_name_H-M_alt 'I 4/m m m'
_space_group_IT_number 139
_space_group_name_Hall '-I 4 2'
loop_
_atom_site_label
_atom_site_type_symbol
_atom_site_fract_x
_atom_site_fract_y
_atom_site_fract_z
Ta1 Ta 0.0000 0.0000 0.0000
Mo1 Mo 0.0000 0.0000 0.5000
Pt1 Pt 0.0000 0.5000 0.2500
# - Crystal system: tetragonal

***

3) # TaMoPt2 (PBE, optimized geometry)
data_TaMoPt2
_cell_length_a 3.4716
_cell_length_b 3.4716
_cell_length_c 5.4653
_cell_angle_alpha 90.00
_cell_angle_beta 90.00
_cell_angle_gamma 90.00
_space_group_name_H-M_alt 'P 4/m m m'
_space_group_IT_number 123
_space_group_name_Hall '-P 4 2'
loop_
_atom_site_label
_atom_site_type_symbol
_atom_site_fract_x
_atom_site_fract_y
_atom_site_fract_z
Ta1 Ta 0.0000 0.0000 0.0000
Mo1 Mo 0.0000 0.0000 0.5000
Pt1 Pt 0.5000 0.5000 0.2510
# - Crystal system: tetragonal

***

Short version: 2) is the most stable of them.

***

1) # TaMoPt2 (PBE, optimized geometry)
data_TaMoPt2
_cell_length_a 9.3277
_cell_length_b 2.7936
_cell_length_c 5.0255
_cell_angle_alpha 90.00
_cell_angle_beta 99.47
_cell_angle_gamma 90.00
_space_group_name_H-M_alt 'C 1 m 1'
_space_group_IT_number 8
loop_
_space_group_symop_operation_xyz
'x,y,z'
'x,-y,z'
'x+1/2,y+1/2,z'
'x+1/2,-y+1/2,z'
loop_
_atom_site_label
_atom_site_type_symbol
_atom_site_fract_x
_atom_site_fract_y
_atom_site_fract_z
Ta1 Ta 0.0000 0.0000 0.0000
Mo1 Mo 0.2481 0.5000 0.2978
Pt1 Pt 0.2514 0.0000 0.7834
Pt2 Pt 0.4952 0.0000 0.4991
# - Crystal system: monoclinic

***

2) # TaMoPt2 (PBE, optimized geometry)
data_TaMoPt2
_cell_length_a 2.7860
_cell_length_b 4.5672
_cell_length_c 5.0076
_cell_angle_alpha 90.00
_cell_angle_beta 90.00
_cell_angle_gamma 90.00
_space_group_name_H-M_alt 'P m m 2'
_space_group_IT_number 25
loop_
_space_group_symop_operation_xyz
'x,y,z'
'-x,-y,z'
'-x,y,z'
'x,-y,z'
loop_
_atom_site_label
_atom_site_type_symbol
_atom_site_fract_x
_atom_site_fract_y
_atom_site_fract_z
Ta1 Ta 0.0000 0.0000 0.0000
Mo1 Mo 0.0000 0.5000 0.6595
Pt1 Pt 0.5000 0.0000 0.5068
Pt2 Pt 0.5000 0.5000 0.1694
# - Crystal system: orthorhombic

***

Short version: 2) is the most stable of them.

***

1) # TcMoPt (PBE, optimized geometry)
data_TcMoPt
_cell_length_a 5.9920
_cell_length_b 5.9920
_cell_length_c 5.9920
_cell_angle_alpha 90.00
_cell_angle_beta 90.00
_cell_angle_gamma 90.00
_space_group_name_H-M_alt 'F -4 3 m'
_space_group_IT_number 216
_space_group_name_Hall 'F -4 2 3'
loop_
_atom_site_label
_atom_site_type_symbol
_atom_site_fract_x
_atom_site_fract_y
_atom_site_fract_z
Tc1 Tc 0.0000 0.0000 0.0000
Mo1 Mo 0.2500 0.2500 0.7500
Pt1 Pt 0.0000 0.0000 0.5000
# - Crystal system: cubic

***

2) # TcMoPt (PBE, optimized geometry)
data_TcMoPt
_cell_length_a 2.7629
_cell_length_b 2.7629
_cell_length_c 6.9392
_cell_angle_alpha 90.00
_cell_angle_beta 90.00
_cell_angle_gamma 120.00
_space_group_name_H-M_alt 'P 3 m 1'
_space_group_IT_number 156
loop_
_space_group_symop_operation_xyz
'x,y,z'
'-y,x-y,z'
'-x+y,-x,z'
'-y,-x,z'
'-x+y,y,z'
'x,x-y,z'
loop_
_atom_site_label
_atom_site_type_symbol
_atom_site_fract_x
_atom_site_fract_y
_atom_site_fract_z
Tc1 Tc 0.0000 0.0000 0.0000
Mo1 Mo 0.6667 0.3333 0.3287
Pt1 Pt 0.3333 0.6667 0.6654
# - Crystal system: trigonal

***

Short version: 2) is the most stable of them.

***

1) # TcMoPt4 (PBE, optimized geometry)
data_TcMoPt4
_cell_length_a 7.3196
_cell_length_b 7.3196
_cell_length_c 7.3196
_cell_angle_alpha 90.00
_cell_angle_beta 90.00
_cell_angle_gamma 90.00
_space_group_name_H-M_alt 'F -4 3 m'
_space_group_IT_number 216
_space_group_name_Hall 'F -4 2 3'
loop_
_atom_site_label
_atom_site_type_symbol
_atom_site_fract_x
_atom_site_fract_y
_atom_site_fract_z
Tc1 Tc 0.0000 0.0000 0.0000
Mo1 Mo 0.2500 0.2500 0.7500
Pt1 Pt 0.1250 0.1250 0.3750
# - Crystal system: cubic

***

2) # TcMoPt4 (PBE, optimized geometry)
data_TcMoPt4
_cell_length_a 2.7718
_cell_length_b 2.7718
_cell_length_c 12.0065
_cell_angle_alpha 90.00
_cell_angle_beta 90.00
_cell_angle_gamma 90.00
_space_group_name_H-M_alt 'P 4/m m m'
_space_group_IT_number 123
_space_group_name_Hall '-P 4 2'
loop_
_atom_site_label
_atom_site_type_symbol
_atom_site_fract_x
_atom_site_fract_y
_atom_site_fract_z
Tc1 Tc 0.0000 0.0000 0.0000
Mo1 Mo 0.5000 0.5000 0.5000
Pt1 Pt 0.0000 0.0000 0.3383
Pt2 Pt 0.5000 0.5000 0.1573
# - Crystal system: tetragonal

***

Short version: 2) is the most stable of them.

***

1) # TeMoPt3 (PBE, optimized geometry)
data_TeMoPt3
_cell_length_a 4.9173
_cell_length_b 4.9173
_cell_length_c 4.9173
_cell_angle_alpha 90.00
_cell_angle_beta 90.00
_cell_angle_gamma 90.00
_space_group_name_H-M_alt 'P m -3 m'
_space_group_IT_number 221
_space_group_name_Hall '-P 4 2 3'
loop_
_atom_site_label
_atom_site_type_symbol
_atom_site_fract_x
_atom_site_fract_y
_atom_site_fract_z
Te1 Te 0.0000 0.0000 0.0000
Mo1 Mo 0.5000 0.5000 0.5000
Pt1 Pt 0.0000 0.0000 0.5000
# - Crystal system: cubic

***

2) # TeMoPt3 (PBE, optimized geometry)
data_TeMoPt3
_cell_length_a 4.8542
_cell_length_b 4.8542
_cell_length_c 4.8542
_cell_angle_alpha 90.00
_cell_angle_beta 90.00
_cell_angle_gamma 90.00
_space_group_name_H-M_alt 'P m -3 m'
_space_group_IT_number 221
_space_group_name_Hall '-P 4 2 3'
loop_
_atom_site_label
_atom_site_type_symbol
_atom_site_fract_x
_atom_site_fract_y
_atom_site_fract_z
Te1 Te 0.0000 0.0000 0.0000
Mo1 Mo 0.5000 0.5000 0.5000
Pt1 Pt 0.0000 0.5000 0.5000
# - Crystal system: cubic

***

Short version: 2) is the most stable of them.

***

1) # Te3MoPt (PBE, optimized geometry)
data_Te3MoPt
_cell_length_a 5.1920
_cell_length_b 5.1920
_cell_length_c 5.1920
_cell_angle_alpha 90.00
_cell_angle_beta 90.00
_cell_angle_gamma 90.00
_space_group_name_H-M_alt 'P m -3 m'
_space_group_IT_number 221
_space_group_name_Hall '-P 4 2 3'
loop_
_atom_site_label
_atom_site_type_symbol
_atom_site_fract_x
_atom_site_fract_y
_atom_site_fract_z
Te1 Te 0.0000 0.0000 0.5000
Mo1 Mo 0.0000 0.0000 0.0000
Pt1 Pt 0.5000 0.5000 0.5000
# - Crystal system: cubic

***

2) # Te3MoPt (PBE, optimized geometry)
data_Te3MoPt
_cell_length_a 5.2869
_cell_length_b 5.2869
_cell_length_c 5.2869
_cell_angle_alpha 90.00
_cell_angle_beta 90.00
_cell_angle_gamma 90.00
_space_group_name_H-M_alt 'P m -3 m'
_space_group_IT_number 221
_space_group_name_Hall '-P 4 2 3'
loop_
_atom_site_label
_atom_site_type_symbol
_atom_site_fract_x
_atom_site_fract_y
_atom_site_fract_z
Te1 Te 0.0000 0.0000 0.5000
Mo1 Mo 0.5000 0.5000 0.5000
Pt1 Pt 0.0000 0.0000 0.0000
# - Crystal system: cubic

***

Short version: 1) is the most stable of them.

***

1) # Te4MoPt (PBE, optimized geometry)
data_Te4MoPt
_cell_length_a 13.5248
_cell_length_b 3.7479
_cell_length_c 6.3661
_cell_angle_alpha 90.00
_cell_angle_beta 100.03
_cell_angle_gamma 90.00
_space_group_name_H-M_alt 'C 1 m 1'
_space_group_IT_number 8
loop_
_space_group_symop_operation_xyz
'x,y,z'
'x,-y,z'
'x+1/2,y+1/2,z'
'x+1/2,-y+1/2,z'
loop_
_atom_site_label
_atom_site_type_symbol
_atom_site_fract_x
_atom_site_fract_y
_atom_site_fract_z
Te1 Te 0.0000 0.0000 0.0000
Te2 Te 0.0407 0.5000 0.5146
Te3 Te 0.2504 0.0000 0.7570
Te4 Te 0.2924 0.5000 0.3042
Mo1 Mo 0.1480 0.0000 0.3255
Pt1 Pt 0.1441 0.5000 0.9334
# - Crystal system: monoclinic

***

2) # Te4MoPt (PBE, optimized geometry)
data_Te4MoPt
_cell_length_a 8.6474
_cell_length_b 8.6474
_cell_length_c 8.6474
_cell_angle_alpha 90.00
_cell_angle_beta 90.00
_cell_angle_gamma 90.00
_space_group_name_H-M_alt 'F -4 3 m'
_space_group_IT_number 216
_space_group_name_Hall 'F -4 2 3'
loop_
_atom_site_label
_atom_site_type_symbol
_atom_site_fract_x
_atom_site_fract_y
_atom_site_fract_z
Te1 Te 0.1241 0.1241 0.3759
Mo1 Mo 0.0000 0.0000 0.0000
Pt1 Pt 0.2500 0.2500 0.7500
# - Crystal system: cubic

***

Short version: 1) is the most stable of them.

***

1) # Ti2MoPt2 (PBE, optimized geometry)
data_Ti2MoPt2
_cell_length_a 7.5258
_cell_length_b 7.5258
_cell_length_c 2.8631
_cell_angle_alpha 90.00
_cell_angle_beta 90.00
_cell_angle_gamma 90.00
_space_group_name_H-M_alt 'P 4/m b m'
_space_group_IT_number 127
_space_group_name_Hall '-P 4 2ab'
loop_
_atom_site_label
_atom_site_type_symbol
_atom_site_fract_x
_atom_site_fract_y
_atom_site_fract_z
Ti1 Ti 0.1684 0.3316 0.0000
Mo1 Mo 0.0000 0.0000 0.5000
Pt1 Pt 0.1314 0.6314 0.5000
# - Crystal system: tetragonal

***

2) # Ti2MoPt2 (PBE, optimized geometry)
data_Ti2MoPt2
_cell_length_a 7.3436
_cell_length_b 7.3436
_cell_length_c 3.0062
_cell_angle_alpha 90.00
_cell_angle_beta 90.00
_cell_angle_gamma 90.00
_space_group_name_H-M_alt 'P 4/m b m'
_space_group_IT_number 127
_space_group_name_Hall '-P 4 2ab'
loop_
_atom_site_label
_atom_site_type_symbol
_atom_site_fract_x
_atom_site_fract_y
_atom_site_fract_z
Ti1 Ti 0.1612 0.3388 0.0000
Mo1 Mo 0.0000 0.0000 0.0000
Pt1 Pt 0.1396 0.6396 0.5000
# - Crystal system: tetragonal

***

Short version: 1) is the most stable of them.